Record 1
Below is a geometry-optimized ScZnSe structure, with properties calculated at the GGA-PBE level.

a b c (Å): 5.311 3.863 6.661
angles (deg): 90.00 98.64 90.00
Atoms (fractional coordinates):
Se1 0.217 0.750 0.334
Zn1 0.340 0.750 0.956
Sc1 0.727 0.750 0.381
Zn2 0.660 0.250 0.044
Sc2 0.273 0.250 0.619
Se2 0.783 0.250 0.666

Summary:
M_tot = 0.00 μB/cell
formation energy without anion corrections = -829.2 meV per atom
V = 67.6 Å³/f.u.


Record 2
Below is a geometry-optimized ScZnSe2 structure, with properties calculated at the GGA-PBE level.

a b c (Å): 6.950 4.842 3.540
angles (deg): 79.75 74.85 128.47
Atoms (fractional coordinates):
Sc1 0.500 0.500 0.000
Se1 0.500 0.000 0.500
Zn1 0.000 0.500 0.500
Se2 0.000 0.000 0.000

Summary:
M_tot = 0.00 μB/cell
formation energy without anion corrections = -748.6 meV per atom
V = 80.4 Å³/f.u.


Record 3
Below is a geometry-optimized ScZnSe2 structure, with properties calculated at the GGA-PBE level.

a b c (Å): 6.096 6.096 3.839
angles (deg): 89.99 89.99 34.87
Atoms (fractional coordinates):
Se1 0.977 0.977 0.125
Zn1 0.503 0.503 0.625
Sc1 0.300 0.300 0.125
Se2 0.720 0.720 0.625

Summary:
M_tot = 0.00 μB/cell
formation energy without anion corrections = -1091.1 meV per atom
V = 81.6 Å³/f.u.


Record 4
Below is a geometry-optimized ScZnSe2 structure, with properties calculated at the GGA-PBE level.

a b c (Å): 6.062 6.062 7.157
angles (deg): 64.94 64.94 90.00
Site moments in Bohr magnetons follow the coordinates.
Atoms (fractional coordinates):
Sc1 0.500 0.500 0.000  0.42
Zn1 0.750 0.250 0.500  0.05
Sc2 0.250 0.750 0.500  0.41
Se1 0.107 0.625 0.250  -0.01
Se2 0.643 0.125 0.250  -0.01
Se3 0.875 0.893 0.750  -0.01
Se4 0.375 0.357 0.750  -0.01
Zn2 0.000 0.000 0.000  0.05

Summary:
M_tot = 1.55 μB/cell
formation energy without anion corrections = -894.7 meV per atom
V = 105.3 Å³/f.u.


Record 5
Below is a geometry-optimized ScZnSe structure, with properties calculated at the GGA-PBE level.

a b c (Å): 4.264 4.264 9.373
angles (deg): 76.85 76.85 60.00
Atoms (fractional coordinates):
Sc1 0.563 0.563 0.312
Zn1 0.172 0.172 0.484
Zn2 0.828 0.828 0.516
Se1 0.730 0.730 0.810
Se2 0.270 0.270 0.190
Sc2 0.437 0.437 0.688

Summary:
M_tot = 0.00 μB/cell
formation energy without anion corrections = -974.1 meV per atom
V = 71.2 Å³/f.u.


Record 6
Below is a geometry-optimized ScZn4Se structure, with properties calculated at the GGA-PBE level.

a b c (Å): 5.306 5.306 5.306
angles (deg): 60.00 60.00 60.00
Atoms (fractional coordinates):
Zn1 0.376 0.873 0.376
Se1 0.000 0.000 0.000
Sc1 0.750 0.750 0.750
Zn2 0.376 0.376 0.376
Zn3 0.376 0.376 0.873
Zn4 0.873 0.376 0.376

Summary:
M_tot = 0.00 μB/cell
formation energy without anion corrections = -72.9 meV per atom
V = 105.7 Å³/f.u.


Record 7
Below is a geometry-optimized ScZnSe2 structure, with properties calculated at the GGA-PBE level.

a b c (Å): 7.897 7.897 7.897
angles (deg): 28.97 28.97 28.97
Atoms (fractional coordinates):
Zn1 0.506 0.506 0.506
Se1 0.210 0.210 0.210
Se2 0.031 0.031 0.031
Sc1 0.754 0.754 0.754

Summary:
M_tot = 0.00 μB/cell
formation energy without anion corrections = -861.2 meV per atom
V = 102.2 Å³/f.u.


Record 8
Below is a geometry-optimized ScZnSe structure, with properties calculated at the GGA-PBE level.

a b c (Å): 6.495 3.638 10.867
angles (deg): 90.00 111.81 90.00
Atoms (fractional coordinates):
Sc1 0.414 0.500 0.872
Se1 0.105 0.500 0.227
Se2 0.105 0.000 0.727
Zn1 0.418 0.000 0.625
Se3 0.746 0.500 0.429
Zn2 0.166 0.500 0.485
Zn3 0.418 0.500 0.125
Se4 0.746 0.000 0.929
Sc2 0.788 0.000 0.224
Sc3 0.414 0.000 0.372
Zn4 0.166 0.000 0.985
Sc4 0.788 0.500 0.724

Summary:
M_tot = 0.00 μB/cell
formation energy without anion corrections = -824.3 meV per atom
V = 59.6 Å³/f.u.


Record 9
Below is a geometry-optimized ScZnSe2 structure, with properties calculated at the GGA-PBE level.

a b c (Å): 3.791 3.791 7.105
angles (deg): 74.50 74.50 59.96
Atoms (fractional coordinates):
Sc1 0.250 0.250 0.250
Zn1 0.750 0.750 0.750
Se1 0.998 0.998 0.006
Se2 0.502 0.502 0.494

Summary:
M_tot = 0.00 μB/cell
formation energy without anion corrections = -1004.6 meV per atom
V = 84.1 Å³/f.u.


Record 10
Below is a geometry-optimized ScZnSe structure, with properties calculated at the GGA-PBE level.

a b c (Å): 5.466 3.627 6.823
angles (deg): 90.00 113.43 90.00
Atoms (fractional coordinates):
Sc1 0.494 0.000 0.597
Zn1 0.212 0.000 0.859
Zn2 0.058 0.500 0.538
Se1 0.831 0.500 0.891
Sc2 0.772 0.000 0.169
Se2 0.523 0.500 0.309

Summary:
M_tot = 0.00 μB/cell
formation energy without anion corrections = -807.6 meV per atom
V = 62.1 Å³/f.u.


Record 11
Below is a geometry-optimized ScZn2Se structure, with properties calculated at the GGA-PBE level.

a b c (Å): 3.760 3.761 5.303
angles (deg): 90.00 90.00 90.00
Atoms (fractional coordinates):
Se1 0.500 0.500 0.750
Zn1 0.000 0.000 0.005
Zn2 0.000 0.000 0.495
Sc1 0.500 0.500 0.250

Summary:
M_tot = 0.00 μB/cell
formation energy without anion corrections = -329.9 meV per atom
V = 75.0 Å³/f.u.


Record 12
Below is a geometry-optimized ScZnSe structure, with properties calculated at the GGA-PBE level.

a b c (Å): 7.176 3.785 10.562
angles (deg): 90.00 122.65 90.00
Atoms (fractional coordinates):
Sc1 0.764 0.500 0.583
Se1 0.439 0.500 0.022
Zn1 0.969 0.500 0.916
Zn2 0.714 0.000 0.806
Se2 0.081 0.500 0.185
Zn3 0.714 0.500 0.306
Sc2 0.366 0.000 0.211
Sc3 0.764 0.000 0.083
Sc4 0.366 0.500 0.711
Se3 0.081 0.000 0.685
Zn4 0.969 0.000 0.416
Se4 0.439 0.000 0.522

Summary:
M_tot = 0.00 μB/cell
formation energy without anion corrections = -820.2 meV per atom
V = 60.4 Å³/f.u.


Record 13
Below is a geometry-optimized ScZnSe structure, with properties calculated at the GGA-PBE level.

a b c (Å): 5.293 3.679 13.382
angles (deg): 90.00 108.20 90.00
Atoms (fractional coordinates):
Sc1 0.938 0.500 0.815
Zn1 0.294 0.000 0.747
Se1 0.694 0.500 0.171
Se2 0.854 0.000 0.961
Se3 0.694 0.000 0.671
Sc2 0.388 0.500 0.547
Zn2 0.469 0.000 0.395
Zn3 0.294 0.500 0.247
Se4 0.854 0.500 0.461
Sc3 0.938 0.000 0.315
Sc4 0.388 0.000 0.047
Zn4 0.469 0.500 0.895

Summary:
M_tot = 0.00 μB/cell
formation energy without anion corrections = -807.6 meV per atom
V = 61.9 Å³/f.u.


Record 14
Below is a geometry-optimized ZrSc4Se structure, with properties calculated at the GGA-PBE level.

a b c (Å): 5.872 5.872 5.872
angles (deg): 60.00 60.00 60.00
Site moments in Bohr magnetons follow the coordinates.
Atoms (fractional coordinates):
Sc1 0.373 0.373 0.373  0.04
Zr1 0.000 0.000 0.000  0.22
Sc2 0.373 0.881 0.373  0.04
Sc3 0.373 0.373 0.881  0.04
Se1 0.750 0.750 0.750  0.00
Sc4 0.881 0.373 0.373  0.04

Summary:
M_tot = 0.69 μB/cell
formation energy without anion corrections = 226.1 meV per atom
V = 143.2 Å³/f.u.


Record 15
Below is a geometry-optimized ZrScSe4 structure, with properties calculated at the GGA-PBE level.

a b c (Å): 3.879 6.432 6.432
angles (deg): 90.74 90.00 90.00
Atoms (fractional coordinates):
Zr1 0.000 0.500 0.500
Se1 0.500 0.702 0.298
Se2 0.000 0.203 0.203
Se3 0.000 0.797 0.797
Se4 0.500 0.298 0.702
Sc1 0.500 0.000 0.000

Summary:
M_tot = 0.00 μB/cell
formation energy without anion corrections = -1183.5 meV per atom
V = 160.5 Å³/f.u.


Record 16
Below is a geometry-optimized ZrScSe4 structure, with properties calculated at the GGA-PBE level.

a b c (Å): 5.672 5.672 5.672
angles (deg): 60.00 60.00 60.00
Atoms (fractional coordinates):
Se1 0.625 0.625 0.625
Se2 0.625 0.625 0.126
Zr1 0.250 0.250 0.250
Se3 0.625 0.126 0.625
Sc1 0.000 0.000 0.000
Se4 0.126 0.625 0.625

Summary:
M_tot = 0.00 μB/cell
formation energy without anion corrections = 247.2 meV per atom
V = 129.0 Å³/f.u.


Record 17
Below is a geometry-optimized ZrSc6Se8 structure, with properties calculated at the GGA-PBE level.

a b c (Å): 7.695 7.695 7.695
angles (deg): 60.00 60.00 60.00
Atoms (fractional coordinates):
Sc1 0.500 0.000 0.000
Sc2 0.000 0.500 0.500
Sc3 0.500 0.000 0.500
Se1 0.250 0.250 0.250
Se2 0.256 0.744 0.256
Se3 0.744 0.256 0.744
Se4 0.744 0.744 0.256
Se5 0.256 0.256 0.744
Zr1 0.000 0.000 0.000
Se6 0.744 0.256 0.256
Se7 0.256 0.744 0.744
Sc4 0.000 0.000 0.500
Se8 0.750 0.750 0.750
Sc5 0.500 0.500 0.000
Sc6 0.000 0.500 0.000

Summary:
M_tot = 0.00 μB/cell
formation energy without anion corrections = -1609.1 meV per atom
V = 322.2 Å³/f.u.


Record 18
Below is a geometry-optimized Zr3ScSe structure, with properties calculated at the GGA-PBE level.

a b c (Å): 5.029 5.029 5.029
angles (deg): 90.00 90.00 90.00
Atoms (fractional coordinates):
Zr1 0.500 0.000 0.000
Sc1 0.500 0.500 0.500
Se1 0.000 0.000 0.000
Zr2 0.000 0.500 0.000
Zr3 0.000 0.000 0.500

Summary:
M_tot = 0.00 μB/cell
formation energy without anion corrections = -174.1 meV per atom
V = 127.2 Å³/f.u.


Record 19
Below is a geometry-optimized Zr2ScSe2 structure, with properties calculated at the GGA-PBE level.

a b c (Å): 7.516 7.516 3.510
angles (deg): 90.00 90.00 90.00
Atoms (fractional coordinates):
Se1 0.147 0.353 0.000
Zr1 0.345 0.155 0.500
Zr2 0.155 0.655 0.500
Sc1 0.000 0.000 0.000
Sc2 0.500 0.500 0.000
Se2 0.853 0.647 0.000
Zr3 0.845 0.345 0.500
Se3 0.647 0.147 0.000
Zr4 0.655 0.845 0.500
Se4 0.353 0.853 0.000

Summary:
M_tot = 0.00 μB/cell
formation energy without anion corrections = -991.5 meV per atom
V = 99.1 Å³/f.u.


Record 20
Below is a geometry-optimized Zr3ScSe structure, with properties calculated at the GGA-PBE level.

a b c (Å): 5.065 5.065 5.065
angles (deg): 90.00 90.00 90.00
Atoms (fractional coordinates):
Sc1 0.000 0.000 0.000
Se1 0.500 0.500 0.500
Zr1 0.000 0.500 0.000
Zr2 0.000 0.000 0.500
Zr3 0.500 0.000 0.000

Summary:
M_tot = 0.00 μB/cell
formation energy without anion corrections = 1028.8 meV per atom
V = 129.9 Å³/f.u.